Record 1
# Sc4PAu | the Alexandria database | GGA-PBE | relaxed
data_Sc4PAu
_chemical_formula_sum 'Sc4 P1 Au1'
_cell_length_a 5.620
_cell_length_b 5.620
_cell_length_c 5.620
_cell_angle_alpha 60.00
_cell_angle_beta 60.00
_cell_angle_gamma 60.00
_symmetry_space_group_name_H-M 'P 1'
_symmetry_Int_Tables_number 1
loop_
_symmetry_equiv_pos_as_xyz
'x,y,z'
loop_
_atom_site_label
_atom_site_fract_x
_atom_site_fract_y
_atom_site_fract_z
_atom_site_occupancy
Sc1 0.876 0.375 0.375 1
Sc2 0.375 0.375 0.876 1
Sc3 0.375 0.876 0.375 1
Sc4 0.375 0.375 0.375 1
P1 0.000 0.000 0.000 1
Au1 0.750 0.750 0.750 1
# - space group = F-43m (216)
# - calculated total energy (eV per atom) = -5.4599
# - ρ (g cm⁻³) = 5.4
# - ΔH_f (0 K) (eV/f.u.) = 1.3



Record 2
# Sc2PAu | the Alexandria database | GGA-PBE | relaxed
data_Sc2PAu
_chemical_formula_sum 'Sc2 P1 Au1'
_cell_length_a 3.467
_cell_length_b 4.615
_cell_length_c 4.663
_cell_angle_alpha 90.00
_cell_angle_beta 90.00
_cell_angle_gamma 90.00
_symmetry_space_group_name_H-M 'P 1'
_symmetry_Int_Tables_number 1
loop_
_symmetry_equiv_pos_as_xyz
'x,y,z'
loop_
_atom_site_label
_atom_site_fract_x
_atom_site_fract_y
_atom_site_fract_z
_atom_site_occupancy
Sc1 0.000 0.000 0.000 1
Sc2 0.000 0.500 0.500 1
P1 0.500 0.000 0.500 1
Au1 0.500 0.500 0.000 1
# - space group = Pmmm (47)
# - calculated total energy (eV per atom) = -6.1798
# - ρ (g cm⁻³) = 7.1
# - ΔH_f (0 K) (eV/f.u.) = -3.4



Record 3
# Sc2PAu | the Alexandria database | GGA-PBE | relaxed
data_Sc2PAu
_chemical_formula_sum 'Sc2 P1 Au1'
_cell_length_a 5.704
_cell_length_b 5.704
_cell_length_c 5.704
_cell_angle_alpha 140.35
_cell_angle_beta 140.35
_cell_angle_gamma 57.32
_symmetry_space_group_name_H-M 'P 1'
_symmetry_Int_Tables_number 1
loop_
_symmetry_equiv_pos_as_xyz
'x,y,z'
loop_
_atom_site_label
_atom_site_fract_x
_atom_site_fract_y
_atom_site_fract_z
_atom_site_occupancy
Sc1 0.000 0.000 0.000 1
Sc2 0.250 0.750 0.500 1
P1 0.750 0.250 0.500 1
Au1 0.500 0.500 0.000 1
# - space group = I-4m2 (119)
# - calculated total energy (eV per atom) = -6.1272
# - ρ (g cm⁻³) = 7.0
# - ΔH_f (0 K) (eV/f.u.) = -3.2



Record 4
# ScP2Au | the Alexandria database | GGA-PBE | relaxed
data_ScP2Au
_chemical_formula_sum 'Sc2 P4 Au2'
_cell_length_a 3.368
_cell_length_b 3.368
_cell_length_c 16.485
_cell_angle_alpha 90.00
_cell_angle_beta 90.00
_cell_angle_gamma 120.00
_symmetry_space_group_name_H-M 'P 1'
_symmetry_Int_Tables_number 1
loop_
_symmetry_equiv_pos_as_xyz
'x,y,z'
loop_
_atom_site_label
_atom_site_fract_x
_atom_site_fract_y
_atom_site_fract_z
_atom_site_occupancy
Sc1 0.000 0.000 0.000 1
Sc2 0.000 0.000 0.500 1
P1 0.333 0.667 0.109 1
P2 0.667 0.333 0.609 1
P3 0.667 0.333 0.891 1
P4 0.333 0.667 0.391 1
Au1 0.333 0.667 0.250 1
Au2 0.667 0.333 0.750 1
# - space group = P6_3/mmc (194)
# - calculated total energy (eV per atom) = -5.3439
# - ρ (g cm⁻³) = 6.2
# - ΔH_f (0 K) (eV/f.u.) = -0.9
# - ΔE to the lowest computed polymorph (eV/atom) = 0.298



Record 5
# ScPAu2 | the Alexandria database | GGA-PBE | relaxed
data_ScPAu2
_chemical_formula_sum 'Sc1 P1 Au2'
_cell_length_a 4.895
_cell_length_b 4.895
_cell_length_c 4.895
_cell_angle_alpha 132.48
_cell_angle_beta 119.99
_cell_angle_gamma 79.91
_symmetry_space_group_name_H-M 'P 1'
_symmetry_Int_Tables_number 1
loop_
_symmetry_equiv_pos_as_xyz
'x,y,z'
loop_
_atom_site_label
_atom_site_fract_x
_atom_site_fract_y
_atom_site_fract_z
_atom_site_occupancy
Sc1 0.718 0.218 0.500 1
P1 0.488 0.488 0.000 1
Au1 0.009 0.009 0.000 1
Au2 0.286 0.786 0.500 1
# - space group = Imm2 (44)
# - calculated total energy (eV per atom) = -5.0131
# - ρ (g cm⁻³) = 10.8
# - ΔH_f (0 K) (eV/f.u.) = -1.8



Record 6
# ScPAu4 | the Alexandria database | GGA-PBE | relaxed
data_ScPAu4
_chemical_formula_sum 'Sc1 P1 Au4'
_cell_length_a 5.488
_cell_length_b 5.488
_cell_length_c 5.488
_cell_angle_alpha 60.00
_cell_angle_beta 60.00
_cell_angle_gamma 60.00
_symmetry_space_group_name_H-M 'P 1'
_symmetry_Int_Tables_number 1
loop_
_symmetry_equiv_pos_as_xyz
'x,y,z'
loop_
_atom_site_label
_atom_site_fract_x
_atom_site_fract_y
_atom_site_fract_z
_atom_site_occupancy
Sc1 0.000 0.000 0.000 1
P1 0.750 0.750 0.750 1
Au1 0.875 0.375 0.375 1
Au2 0.375 0.375 0.875 1
Au3 0.375 0.875 0.375 1
Au4 0.375 0.375 0.375 1
# - space group = F-43m (216)
# - calculated total energy (eV per atom) = -4.2169
# - ρ (g cm⁻³) = 12.3
# - ΔH_f (0 K) (eV/f.u.) = -0.5



Record 7
# ScPAu2 | the Alexandria database | GGA-PBE | relaxed
data_ScPAu2
_chemical_formula_sum 'Sc2 P2 Au4'
_cell_length_a 3.837
_cell_length_b 3.837
_cell_length_c 10.717
_cell_angle_alpha 79.69
_cell_angle_beta 79.69
_cell_angle_gamma 90.00
_symmetry_space_group_name_H-M 'P 1'
_symmetry_Int_Tables_number 1
loop_
_symmetry_equiv_pos_as_xyz
'x,y,z'
loop_
_atom_site_label
_atom_site_fract_x
_atom_site_fract_y
_atom_site_fract_z
_atom_site_occupancy
Sc1 0.000 0.000 0.000 1
Sc2 0.750 0.250 0.500 1
P1 0.500 0.500 0.000 1
P2 0.250 0.750 0.500 1
Au1 0.622 0.125 0.250 1
Au2 0.128 0.625 0.250 1
Au3 0.375 0.378 0.750 1
Au4 0.875 0.872 0.750 1
# - space group = I-42d (122)
# - calculated total energy (eV per atom) = -5.0763
# - ρ (g cm⁻³) = 10.2
# - ΔH_f (0 K) (eV/f.u.) = -2.0



Record 8
# ScP2Au | the Alexandria database | GGA-PBE | relaxed
data_ScP2Au
_chemical_formula_sum 'Sc1 P2 Au1'
_cell_length_a 4.590
_cell_length_b 4.590
_cell_length_c 4.590
_cell_angle_alpha 60.00
_cell_angle_beta 60.00
_cell_angle_gamma 60.00
_symmetry_space_group_name_H-M 'P 1'
_symmetry_Int_Tables_number 1
loop_
_symmetry_equiv_pos_as_xyz
'x,y,z'
loop_
_atom_site_label
_atom_site_fract_x
_atom_site_fract_y
_atom_site_fract_z
_atom_site_occupancy
Sc1 0.000 0.000 0.000 1
P1 0.250 0.250 0.250 1
P2 0.750 0.750 0.750 1
Au1 0.500 0.500 0.500 1
# - space group = Fm-3m (225)
# - calculated total energy (eV per atom) = -5.2963
# - ρ (g cm⁻³) = 7.4
# - ΔH_f (0 K) (eV/f.u.) = -0.8
# - ΔE to the lowest computed polymorph (eV/atom) = 0.346